Below is a relaxed Pu2Ge3Pt4Au crystal, with properties calculated at the GGA-PBE level.

theoretical density = 14.43 g cm⁻³
formation enthalpy at 0 K = -59.9 kJ/mol of atoms
DOS at the Fermi energy = 24.61 states/eV per cell
volume = 194 Å³ per cell
total DFT energy (no corrections) = -7.616 eV per atom

abc: 4.081 4.081 11.630
angles: 90.00 90.00 90.00
Fractional positions:
Pu1 0.000 0.500 0.246
Pu2 0.500 0.000 0.754
Ge1 0.000 0.000 0.000
Ge2 0.000 0.500 0.629
Ge3 0.500 0.000 0.371
Pt1 0.000 0.000 0.500
Pt2 0.000 0.500 0.837
Pt3 0.500 0.000 0.163
Pt4 0.500 0.500 0.500
Au1 0.500 0.500 0.000

---

Below is a relaxed BeTl3I6 crystal, with properties calculated at the GGA-PBE level.

theoretical density = 5.43 g cm⁻³
DOS at the Fermi energy = 11.85 states/eV per cell
volume = 846 Å³ per cell
uncorrected formation energy = -0.508 eV per atom
total DFT energy (no corrections) = -2.520 eV per atom

abc: 10.579 10.579 7.685
angles: 90.00 90.00 100.40
Fractional positions:
Be1 0.202 0.798 0.500
Be2 0.798 0.202 0.000
Tl1 0.073 0.278 0.568
Tl2 0.278 0.073 0.068
Tl3 0.429 0.571 0.218
Tl4 0.571 0.429 0.718
Tl5 0.722 0.927 0.568
Tl6 0.927 0.722 0.068
I1 0.059 0.941 0.402
I2 0.128 0.587 0.367
I3 0.213 0.787 0.810
I4 0.286 0.389 0.910
I5 0.389 0.286 0.410
I6 0.413 0.872 0.367
I7 0.587 0.128 0.867
I8 0.611 0.714 0.910
I9 0.714 0.611 0.410
I10 0.787 0.213 0.310
I11 0.872 0.413 0.867
I12 0.941 0.059 0.902

---

Below is a relaxed K2Ba2As crystal, with properties calculated at the GGA-PBE level.

theoretical density = 2.39 g cm⁻³
formation enthalpy at 0 K = -24.3 kJ/mol of atoms
DOS at the Fermi energy = 10.59 states/eV per cell
volume = 594 Å³ per cell
total DFT energy (no corrections) = -2.389 eV per atom

abc: 8.781 8.781 7.700
angles: 90.00 90.00 90.00
Fractional positions:
K1 0.171 0.329 0.000
K2 0.329 0.829 0.000
K3 0.671 0.171 0.000
K4 0.829 0.671 0.000
Ba1 0.181 0.681 0.500
Ba2 0.319 0.181 0.500
Ba3 0.681 0.819 0.500
Ba4 0.819 0.319 0.500
As1 0.000 0.000 0.500
As2 0.500 0.500 0.500

---

Below is a relaxed Er5HgPb2 crystal, with properties calculated at the GGA-PBE level.

theoretical density = 10.54 g cm⁻³
formation enthalpy at 0 K = -21.6 kJ/mol of atoms
DOS at the Fermi energy = 18.16 states/eV per cell
volume = 457 Å³ per cell
total DFT energy (no corrections) = -4.040 eV per atom

abc: 6.099 6.099 18.030
angles: 90.00 90.00 137.01
Fractional positions:
Er1 0.044 0.956 0.598
Er2 0.044 0.956 0.902
Er3 0.348 0.652 0.532
Er4 0.348 0.652 0.968
Er5 0.428 0.572 0.750
Er6 0.572 0.428 0.250
Er7 0.652 0.348 0.032
Er8 0.652 0.348 0.468
Er9 0.956 0.044 0.098
Er10 0.956 0.044 0.402
Hg1 0.137 0.863 0.750
Hg2 0.863 0.137 0.250
Pb1 0.242 0.758 0.147
Pb2 0.242 0.758 0.353
Pb3 0.758 0.242 0.647
Pb4 0.758 0.242 0.853

---

Below is a relaxed CdW2Cl crystal, with properties calculated at the GGA-PBE level.

theoretical density = 10.81 g cm⁻³
DOS at the Fermi energy = 5.81 states/eV per cell
volume = 158 Å³ per cell
uncorrected formation energy = 1.069 eV per atom
total DFT energy (no corrections) = -6.098 eV per atom

abc: 11.046 11.046 11.046
angles: 159.95 159.95 28.51
Fractional positions:
Cd1 0.000 0.000 0.000
Cd2 0.750 0.250 0.500
W1 0.086 0.625 0.961
W2 0.375 0.336 0.461
W3 0.664 0.125 0.039
W4 0.875 0.914 0.539
Cl1 0.250 0.750 0.500
Cl2 0.500 0.500 0.000

---

Below is a relaxed KInW2 crystal, with properties calculated at the GGA-PBE level.

theoretical density = 10.53 g cm⁻³
formation enthalpy at 0 K = 143.1 kJ/mol of atoms
DOS at the Fermi energy = 3.63 states/eV per cell
volume = 82 Å³ per cell
total DFT energy (no corrections) = -5.952 eV per atom

abc: 5.956 5.956 2.743
angles: 90.00 90.00 122.31
Fractional positions:
K1 0.000 0.000 0.000
In1 0.500 0.500 0.000
W1 0.000 0.500 0.500
W2 0.500 0.000 0.500

---

Below is a relaxed Cu5Hg crystal, with properties calculated at the GGA-PBE level.

theoretical density = 10.30 g cm⁻³
formation enthalpy at 0 K = 15.1 kJ/mol of atoms
DOS at the Fermi energy = 2.32 states/eV per cell
volume = 84 Å³ per cell
total DFT energy (no corrections) = -3.307 eV per atom

abc: 4.907 4.907 4.907
angles: 60.00 60.00 60.00
Fractional positions:
Cu1 0.000 0.000 0.000
Cu2 0.374 0.374 0.374
Cu3 0.374 0.374 0.877
Cu4 0.374 0.877 0.374
Cu5 0.877 0.374 0.374
Hg1 0.750 0.750 0.750